# SrTeIrI2

A geometry-optimized SrTeIrI2 structure (PBE, Alexandria).

Crystal system ... tetragonal
E above lowest polymorph ... 5.91 eV/f.u.
Symmetry ... P4/mmm (123)
E_tot ... -2.5529 eV per atom
ρ ... 4.41 g/cm3

Cell and atoms, written as POSCAR:
```
SrTeIrI2
1.0
6.206 0.000 0.000
0.000 6.206 0.000
0.000 0.000 6.467
Sr Te Ir I
1 1 1 2
direct
0.000 0.000 0.000
0.000 0.000 0.500
0.500 0.500 0.500
0.000 0.500 0.000
0.500 0.000 0.000
```